(1)
MgCuHg | PBE | relaxed

crystal system	tetragonal
space group	No. 107
energy relative to the elements	-0.08	eV/atom
M_tot	0.00	μB/f.u.

a = 5.062 Å, b = 5.062 Å, c = 5.062 Å
α = 140.06°, β = 140.06°, γ = 57.77°
Fractional positions:
1 Mg 0.000 0.000 0.000
2 Cu 0.652 0.652 0.000
3 Hg 0.321 0.321 0.000

---

(2)
Ho8Tl4PSe3 | PBE | relaxed

crystal system	monoclinic
space group	No. 12
uncorrected formation energy	-1.03	eV per atom
M_tot	0.00	μB/f.u.

a = 7.854 Å, b = 7.854 Å, c = 9.109 Å
α = 115.67°, β = 115.67°, γ = 59.83°
Fractional positions:
1 Ho 0.232 0.232 0.711
2 Ho 0.232 0.748 0.711
3 Ho 0.252 0.768 0.289
4 Ho 0.260 0.260 0.280
5 Ho 0.740 0.740 0.720
6 Ho 0.748 0.232 0.711
7 Ho 0.768 0.252 0.289
8 Ho 0.768 0.768 0.289
9 Tl 0.000 0.000 0.000
10 Tl 0.000 0.500 0.000
11 Tl 0.500 0.000 0.000
12 Tl 0.500 0.500 0.000
13 P 0.000 0.000 0.500
14 Se 0.000 0.500 0.500
15 Se 0.500 0.000 0.500
16 Se 0.500 0.500 0.500

---

(3)
Zn2InSn2 | PBE | relaxed

crystal system	tetragonal
space group	No. 127
energy relative to the elements	0.09	eV/atom
M_tot	0.00	μB/f.u.

a = 7.458 Å, b = 7.458 Å, c = 4.106 Å
α = 90.00°, β = 90.00°, γ = 90.00°
Fractional positions:
1 Zn 0.122 0.378 0.000
2 Zn 0.378 0.878 0.000
3 Zn 0.622 0.122 0.000
4 Zn 0.878 0.622 0.000
5 In 0.000 0.000 0.000
6 In 0.500 0.500 0.000
7 Sn 0.181 0.681 0.500
8 Sn 0.319 0.181 0.500
9 Sn 0.681 0.819 0.500
10 Sn 0.819 0.319 0.500

---

(4)
NaPt3O8 | PBE | relaxed

crystal system	monoclinic
space group	No. 12
uncorrected formation energy	-0.46	eV per atom
M_tot	0.91	μB/f.u.

a = 5.924 Å, b = 5.924 Å, c = 5.962 Å
α = 115.21°, β = 115.21°, γ = 65.03°
Fractional positions:
1 Na 0.000 0.000 0.000
2 Pt 0.000 0.500 0.500
3 Pt 0.500 0.000 0.500
4 Pt 0.500 0.500 0.000
5 O 0.255 0.255 0.304
6 O 0.255 0.698 0.748
7 O 0.261 0.261 0.737
8 O 0.302 0.745 0.252
9 O 0.698 0.255 0.748
10 O 0.739 0.739 0.263
11 O 0.745 0.302 0.252
12 O 0.745 0.745 0.696

---

(5)
TaRh2Br | PBE | relaxed

crystal system	monoclinic
space group	No. 12
uncorrected formation energy	0.05	eV per atom
M_tot	0.00	μB/f.u.

a = 4.106 Å, b = 4.106 Å, c = 6.395 Å
α = 98.84°, β = 98.84°, γ = 47.64°
Fractional positions:
1 Ta 0.000 0.000 0.000
2 Rh 0.277 0.277 0.806
3 Rh 0.723 0.723 0.194
4 Br 0.500 0.500 0.500

---

(6)
BeAg2Rh | PBE | relaxed

crystal system	monoclinic
space group	No. 10
energy relative to the elements	0.23	eV/atom
M_tot	0.00	μB/f.u.

a = 2.833 Å, b = 4.145 Å, c = 5.191 Å
α = 90.00°, β = 105.04°, γ = 90.00°
Fractional positions:
1 Be 0.000 0.000 0.000
2 Ag 0.382 0.500 0.233
3 Ag 0.618 0.500 0.767
4 Rh 0.000 0.000 0.500